Record 1
La2Tb6Nd3Tm: optimized geometry, PBE.

Results
Formation enthalpy at 0 K (eV per atom): 0.02

a = 6.2717 Å, b = 6.2717 Å, c = 11.9450 Å
α = 95.01°, β = 95.01°, γ = 120.00°
Sites, in units of the cell vectors:
La 0.1661 0.8339 0.0000
La 0.8339 0.1661 0.0000
Tb 0.0846 0.4165 0.7499
Tb 0.2518 0.2518 0.2506
Tb 0.4165 0.0846 0.7499
Tb 0.5835 0.9154 0.2501
Tb 0.7482 0.7482 0.7494
Tb 0.9154 0.5835 0.2501
Nd 0.0000 0.0000 0.5000
Nd 0.3332 0.6668 0.5000
Nd 0.6668 0.3332 0.5000
Tm 0.5000 0.5000 0.0000

Record 2
LaTbNd2Tm4: optimized geometry, PBE.

Results
Formation enthalpy at 0 K (eV per atom): 0.41

a = 6.7851 Å, b = 9.4928 Å, c = 9.5042 Å
α = 77.05°, β = 69.17°, γ = 69.14°
Sites, in units of the cell vectors:
La 0.0000 0.0000 0.0000
La 0.4997 0.0000 0.0000
Tb 0.9998 0.0003 0.4997
Tb 0.9999 0.5003 0.9997
Nd 0.9999 0.5004 0.4996
Nd 0.4999 0.0003 0.4997
Nd 0.4998 0.5003 0.9997
Nd 0.4999 0.5004 0.4996
Tm 0.2480 0.7515 0.7510
Tm 0.2487 0.2510 0.7508
Tm 0.2491 0.7515 0.2506
Tm 0.2504 0.2490 0.2486
Tm 0.7493 0.7516 0.7508
Tm 0.7506 0.2491 0.7490
Tm 0.7511 0.7495 0.2486
Tm 0.7517 0.2491 0.2484

Record 3
La5Tb2NdTm: optimized geometry, PBE.

Results
Formation enthalpy at 0 K (eV per atom): 0.28

a = 9.7853 Å, b = 9.7853 Å, c = 9.7853 Å
α = 121.49°, β = 121.49°, γ = 87.44°
Sites, in units of the cell vectors:
La 0.0000 0.0000 0.0000
La 0.0670 0.5670 0.9042
La 0.1628 0.0670 0.5000
La 0.3372 0.8372 0.9042
La 0.4330 0.3372 0.5000
La 0.5000 0.5000 0.0000
La 0.5670 0.6628 0.5000
La 0.6628 0.1628 0.0958
La 0.8372 0.9330 0.5000
La 0.9330 0.4330 0.0958
Tb 0.1082 0.3918 0.5000
Tb 0.3918 0.8918 0.2837
Tb 0.6082 0.1082 0.7163
Tb 0.8918 0.6082 0.5000
Nd 0.2500 0.2500 0.0000
Nd 0.7500 0.7500 0.0000
Tm 0.2500 0.7500 0.5000
Tm 0.7500 0.2500 0.5000